Below is CaTc2As after structural relaxation, with properties calculated at the PBE-GGA level.

a = 3.288 Å, b = 4.690 Å, c = 4.838 Å
α = 90.00°, β = 92.75°, γ = 90.00°
Fractional positions:
Ca  0.000  0.000  0.000
Tc  0.422  0.500  0.763
Tc  0.578  0.500  0.237
As  0.500  0.000  0.500

Computed properties:
formation energy	27	kJ per mole of atoms
D(E_F)	0.74	states/eV per atom
crystal system	monoclinic

Below is NaNbSb after structural relaxation, with properties calculated at the PBE-GGA level.

a = 4.220 Å, b = 4.220 Å, c = 8.145 Å
α = 90.00°, β = 90.00°, γ = 90.00°
Fractional positions:
Na  0.250  0.250  0.145
Na  0.750  0.750  0.855
Nb  0.250  0.750  0.500
Nb  0.750  0.250  0.500
Sb  0.250  0.250  0.740
Sb  0.750  0.750  0.260

Computed properties:
D(E_F)	0.81	states/eV per atom
crystal system	tetragonal
raw total energy	-5.43	eV per atom

Below is Tc3SnN after structural relaxation, with properties calculated at the PBE-GGA level.

a = 7.753 Å, b = 7.753 Å, c = 4.962 Å
α = 91.43°, β = 91.43°, γ = 92.67°
Fractional positions:
Tc  0.048  0.197  0.423
Tc  0.065  0.691  0.103
Tc  0.143  0.536  0.618
Tc  0.197  0.048  0.923
Tc  0.309  0.935  0.397
Tc  0.464  0.857  0.882
Tc  0.536  0.143  0.118
Tc  0.691  0.065  0.603
Tc  0.803  0.952  0.077
Tc  0.857  0.464  0.382
Tc  0.935  0.309  0.897
Tc  0.952  0.803  0.577
Sn  0.273  0.415  0.119
Sn  0.415  0.273  0.619
Sn  0.585  0.727  0.381
Sn  0.727  0.585  0.881
N  0.064  0.936  0.250
N  0.203  0.797  0.750
N  0.797  0.203  0.250
N  0.936  0.064  0.750

Computed properties:
D(E_F)	0.91	states/eV per atom
crystal system	monoclinic
raw total energy	-8.48	eV per atom

Below is CsRb4Au4 after structural relaxation, with properties calculated at the PBE-GGA level.

a = 9.004 Å, b = 9.004 Å, c = 9.958 Å
α = 90.00°, β = 90.00°, γ = 90.00°
Fractional positions:
Cs  0.250  0.250  0.250
Cs  0.750  0.750  0.750
Rb  0.022  0.819  0.130
Rb  0.181  0.522  0.630
Rb  0.319  0.978  0.630
Rb  0.478  0.681  0.130
Rb  0.522  0.319  0.870
Rb  0.681  0.022  0.370
Rb  0.819  0.478  0.370
Rb  0.978  0.181  0.870
Au  0.001  0.162  0.518
Au  0.162  0.499  0.982
Au  0.338  0.001  0.982
Au  0.499  0.338  0.518
Au  0.501  0.662  0.482
Au  0.662  0.999  0.018
Au  0.838  0.501  0.018
Au  0.999  0.838  0.482

Computed properties:
formation energy	-23	kJ per mole of atoms
D(E_F)	0.36	states/eV per atom
crystal system	tetragonal

Below is TmFeNiGe3 after structural relaxation, with properties calculated at the PBE-GGA level.

a = 7.007 Å, b = 7.007 Å, c = 5.709 Å
α = 90.00°, β = 90.00°, γ = 127.46°
Fractional positions:
Tm  0.192  0.808  0.750
Tm  0.808  0.192  0.250
Fe  0.033  0.967  0.250
Fe  0.967  0.033  0.750
Ni  0.388  0.612  0.250
Ni  0.612  0.388  0.750
Ge  0.213  0.787  0.250
Ge  0.290  0.290  0.000
Ge  0.290  0.290  0.500
Ge  0.710  0.710  0.000
Ge  0.710  0.710  0.500
Ge  0.787  0.213  0.750

Computed properties:
formation energy	-15	kJ per mole of atoms
D(E_F)	0.52	states/eV per atom
crystal system	orthorhombic

Below is SmDyEr2 after structural relaxation, with properties calculated at the PBE-GGA level.

a = 6.263 Å, b = 5.632 Å, c = 7.254 Å
α = 90.00°, β = 90.02°, γ = 90.00°
Fractional positions:
Sm  0.000  0.000  0.000
Sm  0.337  0.500  0.000
Dy  0.335  0.500  0.499
Dy  0.503  0.000  0.747
Er  0.001  0.000  0.499
Er  0.502  0.000  0.253
Er  0.833  0.500  0.253
Er  0.834  0.500  0.746

Computed properties:
formation energy	1	kJ per mole of atoms
D(E_F)	1.71	states/eV per atom
crystal system	monoclinic

Below is HoSi2Ir5 after structural relaxation, with properties calculated at the PBE-GGA level.

a = 6.224 Å, b = 6.224 Å, c = 6.224 Å
α = 143.84°, β = 112.84°, γ = 78.72°
Fractional positions:
Ho  0.000  0.000  0.000
Si  0.254  0.754  0.500
Si  0.746  0.246  0.500
Ir  0.155  0.357  0.798
Ir  0.441  0.643  0.798
Ir  0.500  0.000  0.500
Ir  0.559  0.357  0.202
Ir  0.845  0.643  0.202

Computed properties:
D(E_F)	0.81	states/eV per atom
crystal system	orthorhombic
raw total energy	-8.15	eV per atom

Below is LiCdSe2 after structural relaxation, with properties calculated at the PBE-GGA level.

a = 3.736 Å, b = 4.670 Å, c = 4.733 Å
α = 90.00°, β = 90.00°, γ = 90.00°
Fractional positions:
Li  0.000  0.000  0.000
Cd  0.000  0.500  0.500
Se  0.500  0.000  0.500
Se  0.500  0.500  0.000

Computed properties:
D(E_F)	0.43	states/eV per atom
crystal system	orthorhombic
raw total energy	-2.83	eV per atom

Below is RePO2F after structural relaxation, with properties calculated at the PBE-GGA level.

a = 3.877 Å, b = 3.877 Å, c = 4.134 Å
α = 90.00°, β = 90.00°, γ = 90.00°
Fractional positions:
Re  0.000  0.000  0.000
P  0.500  0.500  0.500
O  0.000  0.500  0.500
O  0.500  0.000  0.500
F  0.500  0.500  0.000

Computed properties:
D(E_F)	0.16	states/eV per atom
crystal system	tetragonal
raw total energy	-5.65	eV per atom

Below is Y2Ru2Rh after structural relaxation, with properties calculated at the PBE-GGA level.

a = 6.842 Å, b = 6.842 Å, c = 4.271 Å
α = 90.00°, β = 90.00°, γ = 90.00°
Fractional positions:
Y  0.183  0.317  0.000
Y  0.317  0.817  0.000
Y  0.683  0.183  0.000
Y  0.817  0.683  0.000
Ru  0.124  0.624  0.500
Ru  0.376  0.124  0.500
Ru  0.624  0.876  0.500
Ru  0.876  0.376  0.500
Rh  0.000  0.000  0.500
Rh  0.500  0.500  0.500

Computed properties:
formation energy	-25	kJ per mole of atoms
D(E_F)	0.93	states/eV per atom
crystal system	tetragonal

Below is Rb2PmSmO4 after structural relaxation, with properties calculated at the PBE-GGA level.

a = 6.279 Å, b = 3.625 Å, c = 6.923 Å
α = 90.00°, β = 107.58°, γ = 90.00°
Fractional positions:
Rb  0.000  0.000  0.000
Rb  0.500  0.500  0.000
Pm  0.000  0.500  0.500
Sm  0.500  0.000  0.500
O  0.228  0.000  0.679
O  0.275  0.500  0.321
O  0.725  0.500  0.679
O  0.772  0.000  0.321

Computed properties:
D(E_F)	0.00	states/eV per atom
crystal system	monoclinic
raw total energy	-6.50	eV per atom

Below is La2NdTm5 after structural relaxation, with properties calculated at the PBE-GGA level.

a = 8.490 Å, b = 7.244 Å, c = 6.804 Å
α = 74.29°, β = 55.22°, γ = 50.48°
Fractional positions:
La  0.246  0.754  0.246
La  0.754  0.246  0.754
Nd  0.329  0.329  0.671
Tm  0.247  0.247  0.253
Tm  0.333  0.830  0.667
Tm  0.747  0.747  0.753
Tm  0.829  0.829  0.171
Tm  0.830  0.333  0.170

Computed properties:
formation energy	3	kJ per mole of atoms
D(E_F)	1.71	states/eV per atom
crystal system	orthorhombic